## K3Cu2Br6 (PBE)

Data for a geometry-optimized K3Cu2Br6 structure.

As for the density of states at the Fermi level: 0.6590 states/eV/atom. Its raw formation energy is -11.87 eV/f.u. The calculated density comes out at 3.5 Mg/m³. The value obtained for the calculated total energy is -3.036 eV/atom.

It has space group I4/mmm (No. 139), with a = 4.998 Å, b = 4.998 Å, c = 27.267 Å, α = 90.00°, β = 90.00° and γ = 90.00°. The distinct sites, in fractional coordinates, are K at (0.000, 0.000, 0.000), K at (0.000, 0.000, 0.179), Cu at (0.000, 0.000, 0.396), Br at (0.000, 0.000, 0.303) and Br at (0.000, 0.500, 0.084).